This record from the Alexandria database describes Ca2Si2PdPt5 after structural relaxation. The functional is PBE.

The structure belongs to space group P4/mbm (No. 127); the cell edges are 9.794, 9.794 and 3.570 Å and the angles 90.00°, 90.00° and 90.00°. The distinct sites, in fractional coordinates, are Ca at (0.175, 0.325, 0.000), Si at (0.126, 0.626, 0.000), Pd at (0.000, 0.000, 0.000), Pt at (0.000, 0.500, 0.500) and Pt at (0.066, 0.791, 0.500).

The formation energy from raw total energies is -0.798 eV per atom. For the total magnetization, the calculation gives 0.00 μB/f.u.